Entry 1:
This record from the Alexandria database describes an optimized crystal structure of PrHoSc. The functional is PBE.

Values from the calculation:
Energy above the most stable polymorph in this dataset   0 meV per atom
Space-group type   I4mm, No. 107

Cell lengths 3.532, 3.532, 7.739 Å; angles 103.19, 103.19, 90.00 degrees
Positions (direct):
Ho1 0.326 0.326 0.652
Pr1 0.005 0.005 0.010
Sc1 0.669 0.669 0.338

---

Entry 2:
This record from the Alexandria database describes an optimized crystal structure of YHf2Al2. The functional is PBE.

Values from the calculation:
Energy above the most stable polymorph in this dataset   80 meV per atom
Space-group type   I4/mmm, No. 139

Cell lengths 4.226, 4.226, 7.041 Å; angles 72.54, 72.54, 90.00 degrees
Positions (direct):
Hf1 0.250 0.750 0.500
Hf2 0.750 0.250 0.500
Al1 0.599 0.599 0.802
Al2 0.401 0.401 0.198
Y1 0.000 0.000 0.000

---

Entry 3:
This record from the Alexandria database describes an optimized crystal structure of CrPd2Pt8. The functional is PBE.

Values from the calculation:
Space-group type   C2/m, No. 12

Cell lengths 3.927, 6.256, 7.389 Å; angles 104.86, 105.41, 90.00 degrees
Site moments in Bohr magnetons follow the coordinates.
Positions (direct):
Pt1 0.411 0.561 0.822  -0.07
Pt2 0.679 0.911 0.359  -0.05
Pt3 0.132 0.172 0.264  -0.07
Pt4 0.321 0.089 0.641  -0.05
Pt5 0.589 0.439 0.178  -0.07
Pt6 0.045 0.728 0.090  -0.06
Pt7 0.868 0.828 0.736  -0.07
Pt8 0.955 0.272 0.910  -0.06
Pd1 0.775 0.367 0.550  -0.03
Pd2 0.225 0.633 0.450  -0.03
Cr1 0.500 0.000 0.000  2.46

---

Number 1: energy relative to the elements 57 meV/atom. Number 2: energy relative to the elements -192 meV/atom. Number 3: energy relative to the elements -127 meV/atom.